[1]
# YMg2Pb

A relaxed structure of YMg2Pb (GGA-PBE, the Alexandria database).

As for the formation energy: -16 kJ per mole of atoms. As for the crystal system: orthorhombic.

Cell lengths 3.5110, 4.4569, 6.6930 Å; angles 90.00, 90.00, 90.00 degrees
Last column: nearest neighbours and their distance in Å.
Space group Pmm2 (No. 25)
Symmetry-distinct sites (fractional):
Y 0.0000 0.0000 0.0000 [1 per cell]  4 Pb 3.27, 6 Mg 3.31-3.39, 2 Y 3.51
Mg 0.0000 0.0000 0.4949 [1 per cell]  6 Mg 3.19-3.51, 2 Y 3.31-3.38, 4 Pb 3.34
Mg 0.5000 0.5000 0.2777 [1 per cell]  6 Mg 3.19-3.51, 2 Pb 3.21-3.49, 4 Y 3.39
Pb 0.5000 0.5000 0.7570 [1 per cell]  6 Mg 3.21-3.49, 4 Y 3.27, 2 Pb 3.51



[2]
# MgSb2Ru

A relaxed structure of MgSb2Ru (GGA-PBE, the Alexandria database).

For the total energy, the calculation gives -17.84 eV/f.u. As for the crystal system: cubic.

Cell lengths 6.8716, 6.8716, 6.8716 Å; angles 90.00, 90.00, 90.00 degrees
Last column: nearest neighbours and their distance in Å.
Space group F-43m (No. 216)
Symmetry-distinct sites (fractional):
Mg 0.0000 0.0000 0.0000 [4 per cell]  4 Sb 2.98, 4 Ru 2.98
Sb 0.0000 0.0000 0.5000 [4 per cell]  4 Sb 2.98, 4 Ru 2.98
Sb 0.2500 0.2500 0.7500 [4 per cell]  4 Sb 2.98, 4 Mg 2.98
Ru 0.2500 0.2500 0.2500 [4 per cell]  4 Sb 2.98, 4 Mg 2.98



[3]
# LiReSi2

A relaxed structure of LiReSi2 (GGA-PBE, the Alexandria database).

The distance to the lowest polymorph of the same formula is 81 kJ/mol of formula units. As for the crystal system: orthorhombic.

Cell lengths 3.0324, 4.7718, 8.2580 Å; angles 90.00, 90.00, 90.00 degrees
Last column: nearest neighbours and their distance in Å.
Space group Cmmm (No. 65)
Symmetry-distinct sites (fractional):
Li 0.0000 0.0000 0.0000 [2 per cell]  4 Si 2.65, 4 Li 2.83
Re 0.0000 0.0000 0.5000 [2 per cell]  4 Si 2.47
Si 0.0000 0.5000 0.2638 [4 per cell]  2 Re 2.47, 2 Li 2.65